No. 1
This record from Alexandria describes RbPdCl after structural relaxation. The functional is PBE.

a = 5.029 Å, b = 5.029 Å, c = 5.029 Å
α = 60.00°, β = 60.00°, γ = 60.00°
Fractional positions:
Rb 0.250 0.250 0.250
Cl 0.000 0.000 0.000
Pd 0.750 0.750 0.750

Space group: F-43m
Offset from the most stable computed form: 10.71 kcal/mol of atoms

No. 2
This record from Alexandria describes Rb2Pd2Cl7 after structural relaxation. The functional is PBE.

a = 5.058 Å, b = 8.741 Å, c = 8.741 Å
α = 124.63°, β = 81.76°, γ = 81.76°
Fractional positions:
Cl 0.326 0.345 0.345
Rb 0.500 0.832 0.168
Pd 0.837 0.319 0.319
Cl 0.153 0.543 0.846
Rb 0.500 0.168 0.832
Cl 0.000 0.000 0.000
Cl 0.153 0.846 0.543
Cl 0.847 0.457 0.154
Pd 0.163 0.681 0.681
Cl 0.847 0.154 0.457
Cl 0.674 0.655 0.655

Space group: C2/m

No. 3
This record from Alexandria describes RbPdCl after structural relaxation. The functional is PBE.

a = 3.985 Å, b = 10.109 Å, c = 4.986 Å
α = 102.34°, β = 66.60°, γ = 88.68°
Fractional positions:
Pd 0.839 0.389 0.722
Rb 0.714 0.715 0.045
Cl 0.349 0.909 0.753
Cl 0.472 0.467 0.453
Pd 0.151 0.400 0.101
Rb 0.598 0.126 0.236

Space group: P1
Offset from the most stable computed form: 0.63 kcal/mol of atoms

No. 4
This record from Alexandria describes RbPdCl after structural relaxation. The functional is PBE.

a = 5.207 Å, b = 5.207 Å, c = 6.376 Å
α = 90.00°, β = 90.00°, γ = 90.00°
Fractional positions:
Rb 0.000 0.500 0.163
Cl 0.500 0.500 0.500
Pd 0.000 0.500 0.645
Pd 0.500 0.000 0.355
Cl 0.000 0.000 0.500
Rb 0.500 0.000 0.837

Space group: P4/nmm
Offset from the most stable computed form: 10.02 kcal/mol of atoms

No. 5
This record from Alexandria describes Rb2RePdCl6 after structural relaxation. The functional is PBE.

a = 7.771 Å, b = 7.771 Å, c = 7.132 Å
α = 56.99°, β = 56.99°, γ = 90.00°
Fractional positions:
Cl 0.220 0.780 0.000
Cl 0.780 0.780 0.000
Rb 0.250 0.750 0.500
Rb 0.750 0.250 0.500
Cl 0.780 0.220 0.000
Cl 0.253 0.253 0.493
Re 0.000 0.000 0.000
Cl 0.220 0.220 0.000
Cl 0.747 0.747 0.507
Pd 0.500 0.500 0.000

Space group: I4/mmm

No. 6
This record from Alexandria describes RbPdRhCl6 after structural relaxation. The functional is PBE.

a = 6.438 Å, b = 6.438 Å, c = 7.360 Å
α = 90.00°, β = 90.00°, γ = 60.00°
Fractional positions:
Cl 0.021 0.353 0.317
Rh 0.333 0.333 0.500
Pd 0.667 0.667 0.500
Cl 0.353 0.625 0.317
Rb 0.000 0.000 0.000
Cl 0.625 0.021 0.317
Cl 0.353 0.021 0.683
Cl 0.021 0.625 0.683
Cl 0.625 0.353 0.683

Space group: P312

The records above give, respectively, energy relative to the elements, uncorrected values of -0.33 -0.99 -0.77 -0.37 -0.93 -0.82 eV per atom.
The records above give, respectively, calculated total energy values of -9.01 -36.13 -20.65 -18.20 -40.00 -31.96 eV/cell.
The records above give, respectively, total moment values of 0.0000 0.0000 0.0000 0.0000 0.3000 0.2222 μB per atom.